## Hg2AsSe (GGA-PBE)

Data for a relaxed structure of Hg2AsSe.

E_tot (eV for the cell shown): -33.709

Unit cell a=7.305 b=7.458 c=8.799 alpha=90.00 beta=90.00 gamma=90.00
Fractional positions:
As: 0.497 0.918 0.126
As: 0.997 0.082 0.874
Hg: 0.638 0.575 0.617
Se: 0.996 0.584 0.126
Hg: 0.638 0.075 0.883
Hg: 0.619 0.082 0.370
As: 0.997 0.582 0.626
Se: 0.996 0.084 0.374
Hg: 0.138 0.925 0.117
Hg: 0.619 0.582 0.130
Se: 0.496 0.916 0.626
Se: 0.496 0.416 0.874
As: 0.497 0.418 0.374
Hg: 0.138 0.425 0.383
Hg: 0.119 0.418 0.870
Hg: 0.119 0.918 0.630


## Si2Ni21B6 (GGA-PBE)

Data for a relaxed structure of Si2Ni21B6.

E_tot (eV for the cell shown): -181.327

Unit cell a=7.373 b=7.373 c=7.373 alpha=60.00 beta=60.00 gamma=60.00
Fractional positions:
Ni: 0.000 0.663 0.337
Ni: 0.337 0.663 0.000
B: 0.727 0.273 0.727
Ni: 0.138 0.621 0.621
Ni: 0.000 0.000 0.663
Ni: 0.621 0.138 0.621
Ni: 0.000 0.663 0.000
Ni: 0.663 0.000 0.000
Ni: 0.000 0.000 0.337
Ni: 0.621 0.621 0.138
Ni: 0.337 0.000 0.000
Ni: 0.862 0.379 0.379
B: 0.273 0.727 0.727
Ni: 0.000 0.337 0.663
B: 0.727 0.727 0.273
Ni: 0.621 0.621 0.621
Ni: 0.379 0.379 0.379
B: 0.727 0.273 0.273
Ni: 0.379 0.379 0.862
Ni: 0.663 0.337 0.000
Ni: 0.663 0.000 0.337
B: 0.273 0.727 0.273
Ni: 0.379 0.862 0.379
Ni: 0.337 0.000 0.663
Ni: 0.000 0.000 0.000
B: 0.273 0.273 0.727
Si: 0.250 0.250 0.250
Si: 0.750 0.750 0.750
Ni: 0.000 0.337 0.000


## Mg2Be2ZnCu5 (GGA-PBE)

Data for a relaxed structure of Mg2Be2ZnCu5.

ΔE_f (kJ/mol of formula units): -66

Unit cell a=3.355 b=8.769 c=8.769 alpha=90.00 beta=90.00 gamma=90.00
Fractional positions:
Cu: 0.500 0.068 0.789
Mg: 0.000 0.177 0.323
Cu: 0.500 0.711 0.432
Be: 0.000 0.617 0.883
Zn: 0.000 0.000 0.000
Cu: 0.500 0.432 0.289
Mg: 0.000 0.823 0.677
Cu: 0.500 0.000 0.500
Mg: 0.000 0.677 0.177
Cu: 0.500 0.568 0.711
Be: 0.000 0.383 0.117
Cu: 0.500 0.289 0.568
Cu: 0.500 0.789 0.932
Be: 0.000 0.883 0.383
Mg: 0.000 0.323 0.823
Cu: 0.500 0.211 0.068
Be: 0.000 0.117 0.617
Zn: 0.000 0.500 0.500
Cu: 0.500 0.932 0.211
Cu: 0.500 0.500 0.000


## Ta2CN (GGA-PBE)

Data for a relaxed structure of Ta2CN.

Distance to the lowest polymorph of the same formula (meV/atom): 29.1

Unit cell a=5.473 b=5.473 c=5.473 alpha=132.05 beta=132.05 gamma=70.15
Fractional positions:
N: 0.500 0.500 0.000
Ta: 0.992 0.492 0.500
Ta: 0.758 0.758 0.000
N: 0.250 0.750 0.500
Ta: 0.242 0.242 0.000
Ta: 0.508 0.008 0.500
C: 0.000 0.000 0.000
C: 0.750 0.250 0.500